[1]
## Ga2SnIr (GGA-PBE)

Data for Ga2SnIr after structural relaxation.

abc: 4.6667 4.6667 4.6667
angles: 60.00 60.00 60.00
Last column: nearest neighbours and their distance in Å.
Fractional positions:
Ga (0.0000, 0.0000, 0.0000)  4 Ir 2.86, 4 Ga 2.86
Ga (0.2500, 0.2500, 0.2500)  4 Sn 2.86, 4 Ga 2.86
Sn (0.5000, 0.5000, 0.5000)  4 Ir 2.86, 4 Ga 2.86
Ir (0.7500, 0.7500, 0.7500)  4 Sn 2.86, 4 Ga 2.86

Output
Crystal system = cubic
SG = No. 216
Energy = -4.629 eV per atom

[2]
## GaSnIr (GGA-PBE)

Data for GaSnIr after structural relaxation.

abc: 4.3860 4.3860 4.3860
angles: 60.00 60.00 60.00
Last column: nearest neighbours and their distance in Å.
Fractional positions:
Ga (0.0000, 0.0000, 0.0000)  4 Ir 2.69
Sn (0.5000, 0.5000, 0.5000)  4 Ir 2.69
Ir (0.2500, 0.2500, 0.2500)  4 Sn 2.69, 4 Ga 2.69

Output
Crystal system = cubic
SG = No. 216
Energy = -5.595 eV per atom

[3]
## SrGaSnIr2 (GGA-PBE)

Data for SrGaSnIr2 after structural relaxation.

abc: 4.4512 4.4512 10.6757
angles: 90.00 90.00 90.00
Last column: nearest neighbours and their distance in Å.
Fractional positions:
Sr (0.2500, 0.2500, 0.2454)  4 Sn 3.39, 4 Ga 3.44, 8 Ir 3.44-3.51
Sr (0.7500, 0.7500, 0.7546)  4 Sn 3.39, 4 Ga 3.44, 8 Ir 3.44-3.51
Ga (0.2500, 0.7500, 0.0000)  4 Ir 2.54
Ga (0.7500, 0.2500, 0.0000)  4 Ir 2.54
Sn (0.2500, 0.2500, 0.6358)  5 Ir 2.66-2.67
Sn (0.7500, 0.7500, 0.3642)  5 Ir 2.66-2.67
Ir (0.2500, 0.2500, 0.8854)  4 Ga 2.54, 1 Sn 2.67
Ir (0.2500, 0.7500, 0.5000)  4 Sn 2.66
Ir (0.7500, 0.2500, 0.5000)  4 Sn 2.66
Ir (0.7500, 0.7500, 0.1146)  4 Ga 2.54, 1 Sn 2.67

Output
Crystal system = tetragonal
SG = No. 129
Energy = -5.790 eV per atom

[4]
## SrGaIr (GGA-PBE)

Data for SrGaIr after structural relaxation.

abc: 4.6906 4.6906 4.6906
angles: 60.00 60.00 60.00
Last column: nearest neighbours and their distance in Å.
Fractional positions:
Sr (0.0000, 0.0000, 0.0000)  4 Ir 2.87
Ga (0.5000, 0.5000, 0.5000)  4 Ir 2.87
Ir (0.7500, 0.7500, 0.7500)  4 Sr 2.87, 4 Ga 2.87

Output
Crystal system = cubic
SG = No. 216
Energy = -4.605 eV per atom

[5]
## Sr2GaIr (GGA-PBE)

Data for Sr2GaIr after structural relaxation.

abc: 4.3541 4.3541 8.4409
angles: 104.80 104.80 59.86
Last column: nearest neighbours and their distance in Å.
Fractional positions:
Sr (0.0000, 0.0000, 0.0000)  3 Ir 3.25, 3 Ga 3.25-3.26
Sr (0.1683, 0.1683, 0.5121)  3 Ga 3.25, 3 Ir 3.25-3.26
Ga (0.7511, 0.7511, 0.2562)  3 Ir 2.51
Ir (0.4178, 0.4178, 0.2553)  3 Ga 2.51

Output
Crystal system = monoclinic
SG = No. 8
Energy = -4.268 eV per atom

[6]
## SrGaIr (GGA-PBE)

Data for SrGaIr after structural relaxation.

abc: 4.4064 4.4064 7.4490
angles: 90.00 90.00 90.00
Last column: nearest neighbours and their distance in Å.
Fractional positions:
Sr (0.2500, 0.2500, 0.1920)  4 Ir 3.18, 4 Ga 3.28
Sr (0.7500, 0.7500, 0.8080)  4 Ir 3.18, 4 Ga 3.28
Ga (0.2500, 0.2500, 0.6711)  4 Ir 2.55
Ga (0.7500, 0.7500, 0.3289)  4 Ir 2.55
Ir (0.2500, 0.7500, 0.5000)  4 Ga 2.55
Ir (0.7500, 0.2500, 0.5000)  4 Ga 2.55

Output
Crystal system = tetragonal
SG = No. 129
Energy = -5.052 eV per atom